! CsGeRh2, relaxed, DFT PBE-GGA; values from VASP
&SYSTEM
  ibrav = 0, nat = 8, ntyp = 3
/
ATOMIC_SPECIES
Cs 132.91 Cs.upf
Rh 102.91 Rh.upf
Ge 72.64 Ge.upf
ATOMIC_POSITIONS angstrom
Cs 0.000 0.000 0.000
Rh 4.905 1.892 0.867
Rh 9.461 8.689 2.600
Ge 3.784 7.569 1.734
Ge 3.784 3.784 0.000
Cs 7.569 3.784 1.734
Rh 5.677 6.448 2.600
Rh 2.664 5.677 0.867
CELL_PARAMETERS angstrom
7.569 0.000 0.000
0.000 7.569 0.000
3.784 3.784 3.467
! **Formation enthalpy at 0 K**: 8.94 kcal/mol of atoms
! **DOS(E_F)**: 2.68 states/eV/cell
! **Raw total energy**: -4.66 eV/atom
! **Total moment**: 0.00 Bohr magnetons per cell

---

! CsGe2Rh2, relaxed, DFT PBE-GGA; values from VASP
&SYSTEM
  ibrav = 0, nat = 5, ntyp = 3
/
ATOMIC_SPECIES
Rh 102.91 Rh.upf
Cs 132.91 Cs.upf
Ge 72.64 Ge.upf
ATOMIC_POSITIONS angstrom
Rh 2.063 0.000 3.639
Rh 0.000 2.063 3.639
Cs 0.000 0.000 0.000
Ge 2.063 2.063 2.247
Ge 2.063 2.063 5.032
CELL_PARAMETERS angstrom
4.125 0.000 0.000
0.000 4.125 0.000
0.000 0.000 7.278
! **Formation enthalpy at 0 K**: -3.44 kcal/mol of atoms
! **DOS(E_F)**: 3.26 states/eV/cell
! **Raw total energy**: -5.11 eV/atom
! **E above lowest polymorph**: 0.272 eV per atom
! **Total moment**: 0.00 Bohr magnetons per cell

---

! CsGeRh3, relaxed, DFT PBE-GGA; values from VASP
&SYSTEM
  ibrav = 0, nat = 5, ntyp = 3
/
ATOMIC_SPECIES
Rh 102.91 Rh.upf
Cs 132.91 Cs.upf
Ge 72.64 Ge.upf
ATOMIC_POSITIONS angstrom
Rh 0.792 -1.536 -1.777
Cs 0.000 0.000 0.000
Ge -2.505 -1.940 -2.897
Rh -1.850 -1.563 0.526
Rh -1.446 1.159 -1.646
CELL_PARAMETERS angstrom
-2.892 2.317 -3.292
1.583 -3.072 -3.554
-3.701 -3.125 1.052
! **Formation enthalpy at 0 K**: 47.25 kcal/mol of atoms
! **DOS(E_F)**: 3.94 states/eV/cell
! **Raw total energy**: -3.46 eV/atom
! **E above lowest polymorph**: 1.481 eV per atom
! **Total moment**: 0.00 Bohr magnetons per cell

---

! CsGe2Rh, relaxed, DFT PBE-GGA; values from VASP
&SYSTEM
  ibrav = 0, nat = 8, ntyp = 3
/
ATOMIC_SPECIES
Ge 72.64 Ge.upf
Cs 132.91 Cs.upf
Rh 102.91 Rh.upf
ATOMIC_POSITIONS angstrom
Ge -4.094 -3.216 8.006
Ge -3.969 -1.316 4.513
Cs 0.000 0.000 0.000
Rh -4.645 -3.126 5.770
Rh -3.293 0.494 3.257
Ge -4.514 -1.248 10.613
Cs -2.191 0.315 7.729
Ge -1.096 0.157 3.864
CELL_PARAMETERS angstrom
-0.840 3.934 5.216
-5.746 -2.947 1.297
-0.250 -3.799 6.985
! **Formation enthalpy at 0 K**: -4.52 kcal/mol of atoms
! **DOS(E_F)**: 0.00 states/eV/cell
! **Raw total energy**: -4.56 eV/atom
! **E above lowest polymorph**: 0.034 eV per atom
! **Total moment**: 0.00 Bohr magnetons per cell

---

! CsGe2Rh, relaxed, DFT PBE-GGA; values from VASP
&SYSTEM
  ibrav = 0, nat = 4, ntyp = 3
/
ATOMIC_SPECIES
Ge 72.64 Ge.upf
Rh 102.91 Rh.upf
Cs 132.91 Cs.upf
ATOMIC_POSITIONS angstrom
Ge 4.635 -2.223 4.616
Ge 0.875 -0.420 0.872
Rh -1.762 -0.642 1.461
Cs 0.993 -1.963 4.205
CELL_PARAMETERS angstrom
-1.721 1.516 2.458
-1.803 -2.799 0.463
5.510 -2.642 5.488
! **Formation enthalpy at 0 K**: -2.23 kcal/mol of atoms
! **DOS(E_F)**: 2.04 states/eV/cell
! **Raw total energy**: -4.46 eV/atom
! **E above lowest polymorph**: 0.133 eV per atom
! **Total moment**: 0.00 Bohr magnetons per cell

---

! CsGeRh3, relaxed, DFT PBE-GGA; values from VASP
&SYSTEM
  ibrav = 0, nat = 5, ntyp = 3
/
ATOMIC_SPECIES
Rh 102.91 Rh.upf
Cs 132.91 Cs.upf
Ge 72.64 Ge.upf
ATOMIC_POSITIONS angstrom
Rh 0.000 2.389 0.000
Rh 0.000 0.000 2.389
Rh 2.389 0.000 0.000
Cs 2.389 2.389 2.389
Ge 0.000 0.000 0.000
CELL_PARAMETERS angstrom
4.777 0.000 0.000
0.000 4.777 0.000
0.000 0.000 4.777
! **Formation enthalpy at 0 K**: 13.09 kcal/mol of atoms
! **DOS(E_F)**: 5.13 states/eV/cell
! **Raw total energy**: -4.94 eV/atom
! **E above lowest polymorph**: 0.000 eV per atom
! **Total moment**: 1.01 Bohr magnetons per cell

---

! Cs2GeRh, relaxed, DFT PBE-GGA; values from VASP
&SYSTEM
  ibrav = 0, nat = 8, ntyp = 3
/
ATOMIC_SPECIES
Ge 72.64 Ge.upf
Cs 132.91 Cs.upf
Rh 102.91 Rh.upf
ATOMIC_POSITIONS angstrom
Ge -1.716 -1.380 0.808
Cs -5.670 3.193 -1.482
Rh 0.000 0.000 0.000
Rh -4.565 4.551 1.483
Cs -1.925 2.347 1.624
Cs -4.319 5.219 4.851
Ge -3.298 -1.177 -5.612
Cs -6.348 7.445 0.937
CELL_PARAMETERS angstrom
-0.448 -7.109 -6.287
-2.984 4.349 7.902
-4.430 6.134 -5.745
! **Formation enthalpy at 0 K**: 1.99 kcal/mol of atoms
! **DOS(E_F)**: 4.23 states/eV/cell
! **Raw total energy**: -3.33 eV/atom
! **E above lowest polymorph**: 0.000 eV per atom
! **Total moment**: 0.00 Bohr magnetons per cell

---

! Cs3GeRh, relaxed, DFT PBE-GGA; values from VASP
&SYSTEM
  ibrav = 0, nat = 5, ntyp = 3
/
ATOMIC_SPECIES
Cs 132.91 Cs.upf
Rh 102.91 Rh.upf
Ge 72.64 Ge.upf
ATOMIC_POSITIONS angstrom
Cs 0.000 0.000 3.049
Cs 3.049 0.000 0.000
Rh 0.000 0.000 0.000
Cs 0.000 3.049 0.000
Ge 3.049 3.049 3.049
CELL_PARAMETERS angstrom
6.098 0.000 0.000
0.000 6.098 0.000
0.000 0.000 6.098
! **Formation enthalpy at 0 K**: 14.32 kcal/mol of atoms
! **DOS(E_F)**: 1.75 states/eV/cell
! **Raw total energy**: -2.29 eV/atom
! **Total moment**: 2.45 Bohr magnetons per cell

---

! Cs2GeRhSe4, relaxed, DFT PBE-GGA; values from VASP
&SYSTEM
  ibrav = 0, nat = 16, ntyp = 4
/
ATOMIC_SPECIES
Ge 72.64 Ge.upf
Se 78.96 Se.upf
Rh 102.91 Rh.upf
Cs 132.91 Cs.upf
ATOMIC_POSITIONS angstrom
Ge -5.882 -0.959 -6.413
Se -11.402 0.463 -13.155
Se -10.972 -1.800 -5.131
Se -0.799 -0.104 -7.709
Se -4.822 0.276 -8.219
Rh 0.000 0.000 0.000
Se -8.250 1.516 -10.800
Cs -6.008 2.867 -5.061
Se -7.940 0.220 -6.951
Cs -2.882 3.458 -8.424
Se -2.362 2.460 -4.372
Se -4.523 -0.991 -4.398
Rh -6.885 1.469 -8.771
Cs -10.888 -0.520 -9.117
Ge -1.002 2.428 -2.357
Cs -8.023 -1.061 -2.965
CELL_PARAMETERS angstrom
-2.005 4.856 -4.714
1.264 -1.297 -7.158
-12.027 -3.050 -3.312
! **DOS(E_F)**: 8.02 states/eV/cell
! **Raw total energy**: -4.09 eV/atom
! **Formation energy from raw total energies**: -642 meV/atom
! **Total moment**: 0.01 Bohr magnetons per cell

---

! CsSr2GeRh, relaxed, DFT PBE-GGA; values from VASP
&SYSTEM
  ibrav = 0, nat = 5, ntyp = 4
/
ATOMIC_SPECIES
Ge 72.64 Ge.upf
Cs 132.91 Cs.upf
Sr 87.62 Sr.upf
Rh 102.91 Rh.upf
ATOMIC_POSITIONS angstrom
Ge 0.000 2.462 0.000
Cs 2.978 2.462 2.978
Sr 0.000 0.000 2.978
Sr 2.978 0.000 0.000
Rh 0.000 0.000 0.000
CELL_PARAMETERS angstrom
5.956 0.000 0.000
0.000 4.925 0.000
0.000 0.000 5.956
! **Formation enthalpy at 0 K**: -4.15 kcal/mol of atoms
! **DOS(E_F)**: 2.83 states/eV/cell
! **Raw total energy**: -3.42 eV/atom
! **Total moment**: 0.00 Bohr magnetons per cell

---

! Cs2GeTeRh, relaxed, DFT PBE-GGA; values from VASP
&SYSTEM
  ibrav = 0, nat = 5, ntyp = 4
/
ATOMIC_SPECIES
Rh 102.91 Rh.upf
Te 127.60 Te.upf
Cs 132.91 Cs.upf
Ge 72.64 Ge.upf
ATOMIC_POSITIONS angstrom
Rh 0.000 0.000 0.000
Te -1.712 4.623 1.106
Cs -2.247 1.664 -1.454
Ge -1.112 0.315 2.079
Cs 1.647 2.643 0.481
CELL_PARAMETERS angstrom
-4.493 3.329 -2.908
-2.224 0.630 4.157
3.294 5.287 0.962
! **DOS(E_F)**: 4.90 states/eV/cell
! **Raw total energy**: -3.38 eV/atom
! **Formation energy from raw total energies**: -13 meV/atom
! **Total moment**: 0.00 Bohr magnetons per cell

---

! CsGeRu3, relaxed, DFT PBE-GGA; values from VASP
&SYSTEM
  ibrav = 0, nat = 5, ntyp = 3
/
ATOMIC_SPECIES
Ru 101.07 Ru.upf
Ge 72.64 Ge.upf
Cs 132.91 Cs.upf
ATOMIC_POSITIONS angstrom
Ru 2.472 0.000 0.000
Ge 2.472 2.472 2.472
Cs 0.000 0.000 0.000
Ru 0.000 2.472 0.000
Ru 0.000 0.000 2.472
CELL_PARAMETERS angstrom
4.943 0.000 0.000
0.000 4.943 0.000
0.000 0.000 4.943
! **Formation enthalpy at 0 K**: 65.75 kcal/mol of atoms
! **DOS(E_F)**: 8.99 states/eV/cell
! **Raw total energy**: -3.81 eV/atom
! **E above lowest polymorph**: 1.508 eV per atom
! **Total moment**: 3.21 Bohr magnetons per cell

---

! Cs2GeRu, relaxed, DFT PBE-GGA; values from VASP
&SYSTEM
  ibrav = 0, nat = 4, ntyp = 3
/
ATOMIC_SPECIES
Ru 101.07 Ru.upf
Cs 132.91 Cs.upf
Ge 72.64 Ge.upf
ATOMIC_POSITIONS angstrom
Ru 4.135 4.135 4.135
Cs 2.067 2.067 2.067
Cs 6.202 6.202 6.202
Ge 0.000 0.000 0.000
CELL_PARAMETERS angstrom
0.000 4.135 4.135
4.135 0.000 4.135
4.135 4.135 0.000
! **Formation enthalpy at 0 K**: 32.57 kcal/mol of atoms
! **DOS(E_F)**: 11.92 states/eV/cell
! **Raw total energy**: -2.49 eV/atom
! **Total moment**: 0.62 Bohr magnetons per cell

---

! CsGeRu3, relaxed, DFT PBE-GGA; values from VASP
&SYSTEM
  ibrav = 0, nat = 5, ntyp = 3
/
ATOMIC_SPECIES
Ru 101.07 Ru.upf
Cs 132.91 Cs.upf
Ge 72.64 Ge.upf
ATOMIC_POSITIONS angstrom
Ru 2.251 -0.444 0.745
Cs 1.063 -2.751 2.960
Ru -0.442 -2.370 -0.078
Ge 0.000 0.000 0.000
Ru -0.747 0.064 2.293
CELL_PARAMETERS angstrom
-0.883 -4.741 -0.156
4.502 -0.888 1.491
-1.493 0.127 4.586
! **Formation enthalpy at 0 K**: 30.97 kcal/mol of atoms
! **DOS(E_F)**: 5.62 states/eV/cell
! **Raw total energy**: -5.32 eV/atom
! **E above lowest polymorph**: 0.000 eV per atom
! **Total moment**: 4.41 Bohr magnetons per cell